Below is an optimized crystal structure of CsSr2Mo, with properties calculated at the GGA-PBE level.

Unit cell a=8.7539 b=8.7539 c=8.7539 alpha=90.00 beta=90.00 gamma=90.00
Space group Fm-3m (No. 225)
Unique sites:
Cs 0.0000 0.0000 0.0000 x4
Sr 0.2500 0.2500 0.2500 x8
Mo 0.0000 0.0000 0.5000 x4

The total energy comes out at -2.71 eV/atom. Its energy relative to the elements is 102 kJ/mol of atoms.